Ge5Se12I3: optimized geometry, PBE.

Cell and atoms, written as extended XYZ:
```
80
Lattice="-8.422 8.422 8.422 8.422 -8.422 8.422 8.422 8.422 -8.422" Properties=species:S:1:pos:R:3 pbc="T T T"
Ge 0.000 0.000 0.000
Ge 4.211 4.211 -4.211
Ge 4.211 -4.211 4.211
Ge 8.422 0.000 0.000
Ge 12.633 2.106 0.000
Ge 8.422 -4.211 6.317
Ge 6.317 8.422 -4.211
Ge 6.317 0.000 4.211
Ge 4.211 6.317 0.000
Ge 8.422 4.211 2.106
Ge -4.211 4.211 4.211
Ge 0.000 8.422 0.000
Ge 0.000 0.000 8.422
Ge 4.211 4.211 4.211
Ge 0.000 4.211 6.317
Ge 4.211 2.106 8.422
Ge 2.106 8.422 4.211
Ge 2.106 0.000 12.633
Ge 0.000 12.633 2.106
Ge -4.211 6.317 8.422
Se 2.599 -0.398 0.637
Se 10.034 4.848 -4.609
Se 11.022 0.398 0.637
Se 10.034 -3.574 4.609
Se 8.024 -0.637 2.599
Se 13.032 -1.612 3.574
Se 0.637 2.599 -0.398
Se 11.996 3.813 -1.612
Se 4.848 4.609 -1.612
Se 7.785 2.599 0.398
Se -0.398 0.637 2.599
Se 4.609 -1.612 4.848
Se 8.024 7.785 -2.599
Se 4.609 1.612 3.574
Se 4.848 -4.609 10.034
Se 7.785 -2.599 8.024
Se 3.574 4.609 1.612
Se 9.059 5.823 0.398
Se 4.609 10.034 -3.574
Se 8.024 0.637 5.823
Se 2.599 8.024 -0.637
Se 10.034 3.574 3.813
Se 1.612 3.574 4.609
Se 2.599 0.398 7.785
Se 5.823 8.024 0.637
Se 6.811 4.848 3.813
Se -1.612 4.848 4.609
Se 5.823 0.398 9.059
Se 0.398 7.785 2.599
Se 3.813 -1.612 11.996
Se -0.637 2.599 8.024
Se 4.848 3.813 6.811
Se 0.637 11.022 0.398
Se 3.574 13.032 -1.612
Se 3.813 6.811 4.848
Se 0.398 0.637 11.022
Se 3.813 10.034 3.574
Se 8.820 7.785 5.823
Se 0.637 5.823 8.024
Se 3.574 3.813 10.034
Se -3.574 4.609 10.034
Se 7.785 5.823 8.820
Se -4.609 10.034 4.848
Se 0.398 9.059 5.823
Se -1.612 11.996 3.813
Se -2.599 8.024 7.785
Se -1.612 3.574 13.032
Se 5.823 8.820 7.785
I 4.211 2.106 0.000
I 8.422 4.211 -2.106
I 2.106 0.000 4.211
I 10.528 0.000 4.211
I 0.000 4.211 2.106
I 4.211 -2.106 8.422
I 4.211 10.528 0.000
I 8.422 4.211 6.317
I -2.106 8.422 4.211
I 6.317 8.422 4.211
I 0.000 4.211 10.528
I 4.211 6.317 8.422
```

Output
density of states at the Fermi level: 64.381 states/eV per cell
E_form (uncorrected): 0.18 eV/atom
final energy: -3.302 eV/atom
space group: Ia-3d, No. 230

Ge3Se2I2: optimized geometry, PBE.

Cell and atoms, written as extended XYZ:
```
7
Lattice="7.874 -2.057 0.000 7.874 2.057 0.000 -2.390 0.000 6.922" Properties=species:S:1:pos:R:3 pbc="T T T"
Ge 0.000 0.000 0.000
Ge 3.536 0.000 1.442
Ge 9.822 0.000 5.480
Se 0.287 0.000 5.923
Se 13.072 0.000 0.999
I 4.612 0.000 4.896
I 8.747 0.000 2.026
```

Output
E_form (uncorrected): -0.24 eV/atom
offset from the most stable computed form: 0.000 eV/atom
final energy: -3.658 eV/atom
space group: C2/m, No. 12

GeSe2I: optimized geometry, PBE.

Cell and atoms, written as extended XYZ:
```
8
Lattice="-3.720 3.720 4.365 3.720 -3.720 4.365 3.720 3.720 -4.365" Properties=species:S:1:pos:R:3 pbc="T T T"
Ge 0.000 0.000 0.000
Ge 0.000 3.720 2.183
Se 5.580 1.259 -1.091
Se 1.259 1.860 1.091
Se -1.860 2.462 3.274
Se 2.462 1.860 5.457
I 3.720 0.000 2.183
I 0.000 0.000 4.365
```

Output
density of states at the Fermi level: 10.233 states/eV per cell
E_form (uncorrected): 0.13 eV/atom
offset from the most stable computed form: 0.241 eV/atom
final energy: -3.151 eV/atom
space group: I-42d, No. 122

GeSe2I: optimized geometry, PBE.

Cell and atoms, written as extended XYZ:
```
8
Lattice="6.060 0.000 0.000 0.000 6.395 0.000 -1.465 0.000 7.082" Properties=species:S:1:pos:R:3 pbc="T T T"
Ge 0.000 1.579 0.000
Ge 0.000 4.817 0.000
Se -0.888 3.198 5.405
Se 1.558 0.000 0.978
Se 2.925 0.000 6.291
Se 5.516 3.198 1.824
I -0.615 0.000 3.754
I 2.540 3.198 1.947
```

Output
density of states at the Fermi level: 2.938 states/eV per cell
E_form (uncorrected): -0.11 eV/atom
offset from the most stable computed form: 0.000 eV/atom
final energy: -3.391 eV/atom
space group: Pm, No. 6